No. 1
First-principles (SCAN) data for KCd2Fe at its PBEsol-relaxed geometry, as listed in the Alexandria database.

Output
Energy: -21.441 eV/atom
Distance to the lowest polymorph of the same formula: 0 meV/atom

The structure in CIF format:
```
data_KCd2Fe
_symmetry_space_group_name_H-M 'P 1'
_symmetry_Int_Tables_number 1
_cell_length_a 3.5526
_cell_length_b 3.5526
_cell_length_c 7.9342
_cell_angle_alpha 90.00
_cell_angle_beta 90.00
_cell_angle_gamma 90.00
loop_
_symmetry_equiv_pos_as_xyz
'x,y,z'
loop_
_atom_site_label
_atom_site_fract_x
_atom_site_fract_y
_atom_site_fract_z
K1 0.0000 0.0000 0.0000
Cd1 0.0000 0.0000 0.5638
Cd2 0.5000 0.5000 0.3238
Fe1 0.5000 0.5000 0.6636
```

=====

No. 2
First-principles (SCAN) data for KCd2Fe at its PBEsol-relaxed geometry, as listed in the Alexandria database.

Output
Energy: -21.219 eV/atom
Distance to the lowest polymorph of the same formula: 222 meV/atom

The structure in CIF format:
```
data_KCd2Fe
_symmetry_space_group_name_H-M 'P 1'
_symmetry_Int_Tables_number 1
_cell_length_a 4.6196
_cell_length_b 4.6196
_cell_length_c 4.2326
_cell_angle_alpha 90.00
_cell_angle_beta 90.00
_cell_angle_gamma 90.00
loop_
_symmetry_equiv_pos_as_xyz
'x,y,z'
loop_
_atom_site_label
_atom_site_fract_x
_atom_site_fract_y
_atom_site_fract_z
K1 0.0000 0.0000 0.0000
Cd1 0.0000 0.5000 0.5000
Cd2 0.5000 0.0000 0.5000
Fe1 0.5000 0.5000 0.0000
```

=====

No. 3
First-principles (SCAN) data for KCdFe2Rh at its PBEsol-relaxed geometry, as listed in the Alexandria database.

Output
Energy: -19.630 eV/atom

The structure in CIF format:
```
data_KCdFe2Rh
_symmetry_space_group_name_H-M 'P 1'
_symmetry_Int_Tables_number 1
_cell_length_a 4.4042
_cell_length_b 4.4042
_cell_length_c 4.6898
_cell_angle_alpha 90.00
_cell_angle_beta 90.00
_cell_angle_gamma 90.00
loop_
_symmetry_equiv_pos_as_xyz
'x,y,z'
loop_
_atom_site_label
_atom_site_fract_x
_atom_site_fract_y
_atom_site_fract_z
K1 0.0000 0.0000 0.0000
Cd1 0.5000 0.5000 0.5000
Fe1 0.0000 0.5000 0.0000
Fe2 0.5000 0.0000 0.0000
Rh1 0.0000 0.0000 0.5000
```

=====

No. 4
First-principles (SCAN) data for LaNbCd2Fe at its PBEsol-relaxed geometry, as listed in the Alexandria database.

Output
Energy: -29.921 eV/atom

The structure in CIF format:
```
data_LaNbCd2Fe
_symmetry_space_group_name_H-M 'P 1'
_symmetry_Int_Tables_number 1
_cell_length_a 5.3083
_cell_length_b 5.3083
_cell_length_c 5.1475
_cell_angle_alpha 90.00
_cell_angle_beta 90.00
_cell_angle_gamma 90.00
loop_
_symmetry_equiv_pos_as_xyz
'x,y,z'
loop_
_atom_site_label
_atom_site_fract_x
_atom_site_fract_y
_atom_site_fract_z
La1 0.0000 0.0000 0.0000
Nb1 0.0000 0.0000 0.5000
Cd1 0.0000 0.5000 0.5000
Cd2 0.5000 0.0000 0.5000
Fe1 0.5000 0.5000 0.0000
```

=====

no.,mass density (g/cm3)
1,5.3
2,5.9
3,6.7
4,5.9